Record 1
VASP calculation (GGA-PBE) on crystalline FeCo2Pt at its relaxed geometry.

Properties
The value obtained for the electronic total energy is -29.0 eV for the cell shown. The energy of formation from the pure elements comes out at -63 meV/atom. The space group is P4mm, No. 99.

Structure (POSCAR):
```
FeCo2Pt
1.0
2.650 0.000 0.000
0.000 2.650 0.000
0.000 0.000 7.117
Fe Co Pt
1 2 1
Direct
0.000 0.000 0.000
0.000 0.000 0.543
0.500 0.500 0.760
0.500 0.500 0.272
```

=====

Record 2
VASP calculation (GGA-PBE) on crystalline FeCo4Pt5 at its relaxed geometry.

Properties
The value obtained for the electronic total energy is -68.0 eV for the cell shown. The energy of formation from the pure elements comes out at -89 meV/atom. The space group is Pmmm, No. 47.

Structure (POSCAR):
```
FeCo4Pt5
1.0
2.710 0.000 0.000
0.000 3.695 0.000
0.000 0.000 13.580
Fe Co Pt
1 4 5
Direct
0.000 0.000 0.000
0.000 0.000 0.203
0.000 0.000 0.403
0.000 0.000 0.597
0.000 0.000 0.797
0.500 0.500 0.102
0.500 0.500 0.301
0.500 0.500 0.500
0.500 0.500 0.699
0.500 0.500 0.898
```

=====

Record 3
VASP calculation (GGA-PBE) on crystalline FeCoPtRh at its relaxed geometry.

Properties
The value obtained for the electronic total energy is -29.4 eV for the cell shown. The energy of formation from the pure elements comes out at -98 meV/atom. The space group is I-4m2, No. 119. The polymorph energy (0 for the lowest one) is 0 meV/atom.

Structure (POSCAR):
```
FeCoPtRh
1.0
-1.907 1.907 3.696
1.907 -1.907 3.696
1.907 1.907 -3.696
Fe Co Pt Rh
1 1 1 1
Direct
0.000 0.000 0.000
0.500 0.500 0.000
0.250 0.750 0.500
0.750 0.250 0.500
```

=====

Record 4
VASP calculation (GGA-PBE) on crystalline Fe2CoPtRh at its relaxed geometry.

Properties
The value obtained for the electronic total energy is -30.0 eV for the cell shown. The energy of formation from the pure elements comes out at 1483 meV/atom. The space group is P4/mmm, No. 123.

Structure (POSCAR):
```
Fe2CoPtRh
1.0
4.526 0.000 0.000
0.000 4.526 0.000
0.000 0.000 4.854
Fe Co Pt Rh
2 1 1 1
Direct
0.000 0.500 0.000
0.500 0.000 0.000
0.000 0.000 0.500
0.500 0.500 0.500
0.500 0.500 0.000
```

=====

Record 5
VASP calculation (GGA-PBE) on crystalline FeCoPtRh at its relaxed geometry.

Properties
The value obtained for the electronic total energy is -28.9 eV for the cell shown. The energy of formation from the pure elements comes out at 25 meV/atom. The space group is F-43m, No. 216. The polymorph energy (0 for the lowest one) is 123 meV/atom.

Structure (POSCAR):
```
FeCoPtRh
1.0
0.000 3.012 3.012
3.012 0.000 3.012
3.012 3.012 0.000
Fe Co Pt Rh
1 1 1 1
Direct
0.000 0.000 0.000
0.500 0.500 0.500
0.750 0.750 0.750
0.250 0.250 0.250
```

=====

Record 6
VASP calculation (GGA-PBE) on crystalline Fe2CoRuPt at its relaxed geometry.

Properties
The value obtained for the electronic total energy is -32.5 eV for the cell shown. The energy of formation from the pure elements comes out at 1368 meV/atom. The space group is P4/mmm, No. 123.

Structure (POSCAR):
```
Fe2CoRuPt
1.0
4.129 0.000 0.000
0.000 4.129 0.000
0.000 0.000 4.329
Fe Co Ru Pt
2 1 1 1
Direct
0.000 0.500 0.000
0.500 0.000 0.000
0.000 0.000 0.000
0.000 0.000 0.500
0.500 0.500 0.500
```

=====

Record 7
VASP calculation (GGA-PBE) on crystalline TaFe2CoPt at its relaxed geometry.

Properties
The value obtained for the electronic total energy is -34.6 eV for the cell shown. The energy of formation from the pure elements comes out at 1460 meV/atom. The space group is P4/mmm, No. 123.

Structure (POSCAR):
```
TaFe2CoPt
1.0
4.440 0.000 0.000
0.000 4.440 0.000
0.000 0.000 4.405
Ta Fe Co Pt
1 2 1 1
Direct
0.000 0.000 0.000
0.000 0.500 0.000
0.500 0.000 0.000
0.000 0.000 0.500
0.500 0.500 0.500
```

=====

Record 8
VASP calculation (GGA-PBE) on crystalline TaFeCoPt at its relaxed geometry.

Properties
The value obtained for the electronic total energy is -35.0 eV for the cell shown. The energy of formation from the pure elements comes out at -388 meV/atom. The space group is Pmmm, No. 47.

Structure (POSCAR):
```
TaFeCoPt
1.0
3.671 0.000 0.000
0.000 3.837 0.000
0.000 0.000 3.863
Ta Fe Co Pt
1 1 1 1
Direct
0.000 0.000 0.000
0.500 0.000 0.500
0.500 0.500 0.000
0.000 0.500 0.500
```

=====

Record 9
VASP calculation (GGA-PBE) on crystalline FeCo2TcPt at its relaxed geometry.

Properties
The value obtained for the electronic total energy is -33.5 eV for the cell shown. The energy of formation from the pure elements comes out at 1119 meV/atom. The space group is P4/mmm, No. 123.

Structure (POSCAR):
```
FeCo2TcPt
1.0
4.229 0.000 0.000
0.000 4.229 0.000
0.000 0.000 4.272
Fe Co Tc Pt
1 2 1 1
Direct
0.000 0.000 0.000
0.000 0.500 0.000
0.500 0.000 0.000
0.000 0.000 0.500
0.500 0.500 0.500
```

=====

Record 10
VASP calculation (GGA-PBE) on crystalline TiFeCoPt at its relaxed geometry.

Properties
The value obtained for the electronic total energy is -30.8 eV for the cell shown. The energy of formation from the pure elements comes out at -321 meV/atom. The space group is F-43m, No. 216.

Structure (POSCAR):
```
TiFeCoPt
1.0
0.000 3.027 3.027
3.027 0.000 3.027
3.027 3.027 0.000
Ti Fe Co Pt
1 1 1 1
Direct
0.000 0.000 0.000
0.500 0.500 0.500
0.250 0.250 0.250
0.750 0.750 0.750
```

=====

Record 11
VASP calculation (GGA-PBE) on crystalline UFeCoPt at its relaxed geometry.

Properties
The value obtained for the electronic total energy is -34.5 eV for the cell shown. The energy of formation from the pure elements comes out at -389 meV/atom. The space group is Pmmm, No. 47.

Structure (POSCAR):
```
UFeCoPt
1.0
3.692 0.000 0.000
0.000 3.964 0.000
0.000 0.000 4.079
U Fe Co Pt
1 1 1 1
Direct
0.000 0.000 0.000
0.500 0.500 0.000
0.500 0.000 0.500
0.000 0.500 0.500
```

=====

Record 12
VASP calculation (GGA-PBE) on crystalline VFeCoPt at its relaxed geometry.

Properties
The value obtained for the electronic total energy is -32.0 eV for the cell shown. The energy of formation from the pure elements comes out at -316 meV/atom. The space group is Pmmm, No. 47.

Structure (POSCAR):
```
VFeCoPt
1.0
3.670 0.000 0.000
0.000 3.717 0.000
0.000 0.000 3.722
V Fe Co Pt
1 1 1 1
Direct
0.000 0.000 0.000
0.500 0.000 0.500
0.500 0.500 0.000
0.000 0.500 0.500
```

=====

Record 13
VASP calculation (GGA-PBE) on crystalline V2FeCoPt2 at its relaxed geometry.

Properties
The value obtained for the electronic total energy is -93.6 eV for the cell shown. The energy of formation from the pure elements comes out at -154 meV/atom. The space group is Ibam, No. 72.

Structure (POSCAR):
```
V2FeCoPt2
1.0
-2.540 6.382 2.521
2.540 -6.382 2.521
2.540 6.382 -2.521
V Fe Co Pt
4 2 2 4
Direct
0.119 0.228 0.347
0.381 0.728 0.110
0.619 0.272 0.890
0.881 0.772 0.653
0.250 0.250 0.000
0.750 0.750 0.000
0.250 0.750 0.500
0.750 0.250 0.500
0.180 0.719 0.899
0.320 0.219 0.539
0.680 0.781 0.461
0.820 0.281 0.101
```

=====

Record 14
VASP calculation (GGA-PBE) on crystalline FeCoPtW at its relaxed geometry.

Properties
The value obtained for the electronic total energy is -34.4 eV for the cell shown. The energy of formation from the pure elements comes out at 30 meV/atom. The space group is F-43m, No. 216.

Structure (POSCAR):
```
FeCoPtW
1.0
0.000 2.986 2.986
2.986 0.000 2.986
2.986 2.986 0.000
Fe Co Pt W
1 1 1 1
Direct
0.000 0.000 0.000
0.500 0.500 0.500
0.250 0.250 0.250
0.750 0.750 0.750
```

=====

Record 15
VASP calculation (GGA-PBE) on crystalline Pu3FeCo8 at its relaxed geometry.

Properties
The value obtained for the electronic total energy is -108.3 eV for the cell shown. The energy of formation from the pure elements comes out at -2 meV/atom. The space group is R3m, No. 160.

Structure (POSCAR):
```
Pu3FeCo8
1.0
2.456 1.418 8.041
-2.456 1.418 8.041
0.000 -2.836 8.041
Pu Fe Co
3 1 8
Direct
0.000 0.000 0.000
0.128 0.128 0.128
0.621 0.621 0.621
0.498 0.498 0.498
0.060 0.060 0.556
0.060 0.556 0.060
0.070 0.562 0.562
0.312 0.312 0.312
0.556 0.060 0.060
0.562 0.070 0.562
0.562 0.562 0.070
0.812 0.812 0.812
```

=====

Record 16
VASP calculation (GGA-PBE) on crystalline PuFe7Co5 at its relaxed geometry.

Properties
The value obtained for the electronic total energy is -109.8 eV for the cell shown. The energy of formation from the pure elements comes out at -53 meV/atom. The space group is Imm2, No. 44.

Structure (POSCAR):
```
PuFe7Co5
1.0
-2.362 4.161 4.171
2.362 -4.161 4.171
2.362 4.161 -4.171
Pu Fe Co
1 7 5
Direct
0.000 0.000 0.000
0.220 0.500 0.720
0.354 0.354 0.000
0.354 0.999 0.355
0.642 0.642 0.000
0.644 0.999 0.645
0.772 0.272 0.500
0.780 0.500 0.280
0.001 0.000 0.501
0.001 0.500 0.001
0.227 0.727 0.500
0.499 0.000 0.999
0.499 0.500 0.499
```

=====

Record 17
VASP calculation (GGA-PBE) on crystalline Pu2FeCo3 at its relaxed geometry.

Properties
The value obtained for the electronic total energy is -59.3 eV for the cell shown. The energy of formation from the pure elements comes out at -149 meV/atom. The space group is R-3m, No. 166.

Structure (POSCAR):
```
Pu2FeCo3
1.0
2.529 1.460 4.047
-2.529 1.460 4.047
0.000 -2.921 4.047
Pu Fe Co
2 1 3
Direct
0.124 0.124 0.124
0.876 0.876 0.876
0.500 0.500 0.500
0.000 0.500 0.500
0.500 0.000 0.500
0.500 0.500 0.000
```

=====

Record 18
VASP calculation (GGA-PBE) on crystalline Pu2Fe2Co15 at its relaxed geometry.

Properties
The value obtained for the electronic total energy is -151.3 eV for the cell shown. The energy of formation from the pure elements comes out at 47 meV/atom. The space group is R-3m, No. 166.

Structure (POSCAR):
```
Pu2Fe2Co15
1.0
4.164 2.404 4.029
-4.164 2.404 4.029
0.000 -4.808 4.029
Pu Fe Co
2 2 15
Direct
0.151 0.151 0.151
0.849 0.849 0.849
0.401 0.401 0.401
0.599 0.599 0.599
0.000 0.500 0.500
0.152 0.152 0.648
0.152 0.648 0.152
0.211 0.500 0.789
0.211 0.789 0.500
0.352 0.848 0.848
0.500 0.000 0.500
0.500 0.211 0.789
0.500 0.500 0.000
0.500 0.789 0.211
0.648 0.152 0.152
0.789 0.211 0.500
0.789 0.500 0.211
0.848 0.352 0.848
0.848 0.848 0.352
```

=====

Record 19
VASP calculation (GGA-PBE) on crystalline Pu2FeCo at its relaxed geometry.

Properties
The value obtained for the electronic total energy is -42.1 eV for the cell shown. The energy of formation from the pure elements comes out at 542 meV/atom. The space group is R-3m, No. 166.

Structure (POSCAR):
```
Pu2FeCo
1.0
1.349 0.779 10.081
-1.349 0.779 10.081
0.000 -1.558 10.081
Pu Fe Co
2 1 1
Direct
0.083 0.083 0.083
0.917 0.917 0.917
0.500 0.500 0.500
0.000 0.000 0.000
```

=====

Record 20
VASP calculation (GGA-PBE) on crystalline Pu2FeCo at its relaxed geometry.

Properties
The value obtained for the electronic total energy is -43.9 eV for the cell shown. The energy of formation from the pure elements comes out at 75 meV/atom. The space group is P4/mmm, No. 123.

Structure (POSCAR):
```
Pu2FeCo
1.0
3.319 0.000 0.000
0.000 3.319 0.000
0.000 0.000 6.572
Pu Fe Co
2 1 1
Direct
0.000 0.000 0.247
0.000 0.000 0.753
0.500 0.500 0.500
0.500 0.500 0.000
```

=====

no.,V (Å³/cell)
1,50
2,136
3,54
4,99
5,55
6,74
7,87
8,54
9,76
10,55
11,60
12,51
13,164
14,53
15,168
16,164
17,90
18,242
19,64
20,72